## Ca2BeBr (PBE)

Data for crystalline Ca2BeBr at its relaxed geometry.

The structure in extended XYZ format:
```
4
Lattice="8.399 1.204 -0.213 6.081 5.917 0.213 -7.114 -3.817 2.619" Properties=species:S:1:pos:R:3 pbc="T T T"
Br 2.435 2.501 1.416
Ca 0.465 0.229 0.000
Ca 5.180 0.926 1.203
Be 6.526 3.209 0.000
```

**Excess energy over the best structure of this formula in the dataset**: 0.378 eV per formula unit
**Formation energy from raw total energies**: -1.46 eV per formula unit
**D(E_F)**: 3.30 states/eV per cell

---

## KSeBr2Cl (PBE)

Data for crystalline KSeBr2Cl at its relaxed geometry.

The structure in extended XYZ format:
```
5
Lattice="-4.009 -0.461 3.962 0.764 -5.602 0.121 3.454 0.548 3.559" Properties=species:S:1:pos:R:3 pbc="T T T"
K 0.104 -2.758 3.821
Se 0.000 0.000 0.000
Br -2.005 -0.230 1.981
Cl 1.727 0.274 1.779
Br 0.382 -2.801 0.061
```

**Excess energy over the best structure of this formula in the dataset**: 0.000 eV per formula unit
**Formation energy from raw total energies**: -3.56 eV per formula unit
**D(E_F)**: 3.18 states/eV per cell

---

## Pr5Ni2Ge (PBE)

Data for crystalline Pr5Ni2Ge at its relaxed geometry.

The structure in extended XYZ format:
```
16
Lattice="7.161 0.000 -3.380 -1.596 6.981 -3.380 -0.275 -0.346 8.692" Properties=species:S:1:pos:R:3 pbc="T T T"
Pr 2.783 3.491 -3.380
Pr 2.417 4.613 2.115
Pr -0.883 3.384 4.401
Ni 1.303 6.126 -4.243
Pr 2.873 2.022 -0.184
Ni 5.291 4.345 -5.071
Pr 4.114 6.742 -3.565
Pr 4.476 1.123 3.210
Ge 1.254 1.573 2.656
Pr 0.000 0.000 0.000
Ge 4.036 5.063 -0.725
Ni 0.274 2.636 -1.690
Pr 0.814 5.513 -1.279
Pr 6.173 3.252 -2.470
Ni 4.262 0.855 -2.518
Pr 1.176 -0.107 5.496
```

**D(E_F)**: 13.52 states/eV per cell

---

## TlReF2 (PBE)

Data for crystalline TlReF2 at its relaxed geometry.

The structure in extended XYZ format:
```
4
Lattice="1.688 0.000 8.875 -0.844 1.462 8.875 -0.844 -1.462 8.875" Properties=species:S:1:pos:R:3 pbc="T T T"
Tl 0.000 0.000 0.000
Re 0.000 0.000 13.313
F 0.000 0.000 2.718
F 0.000 0.000 23.908
```

**Excess energy over the best structure of this formula in the dataset**: 2.424 eV per formula unit
**Formation energy from raw total energies**: -1.07 eV per formula unit
**D(E_F)**: 4.46 states/eV per cell

---

Number 1: total magnetization 0.00 μB/f.u., VASP energy -2.72 eV per atom. Number 2: total magnetization 0.00 μB/f.u., VASP energy -2.67 eV per atom. Number 3: total magnetization 0.00 μB/f.u., VASP energy -5.36 eV per atom. Number 4: total magnetization 1.57 μB/f.u., VASP energy -4.91 eV per atom.